# 1
# KY3Tc

A geometry-optimized KY3Tc structure (PBE-GGA, Alexandria via LeMat-Bulk).

```
KY3Tc
1.0
5.176 0.000 0.000
0.000 5.176 0.000
0.000 0.000 5.176
Tc K Y
1 1 3
Direct
0.500 0.500 0.500
0.000 0.000 0.000
0.000 0.500 0.000
0.500 0.000 0.000
0.000 0.000 0.500
```

## Properties
The value obtained for the total energy is -4.3735 eV/atom. Its relative energy among the computed polymorphs is 1.5568 eV/atom. For the energy of formation, the calculation gives 41.45 kcal/mol of atoms.

# 2
# CdHg2Ru

A geometry-optimized CdHg2Ru structure (PBE-GGA, Alexandria via LeMat-Bulk).

```
CdHg2Ru
1.0
-5.168 2.765 -3.901
-7.027 -0.158 0.422
6.529 1.386 2.241
Hg Cd Ru
2 1 1
Direct
0.933 0.933 0.000
0.567 0.567 0.000
0.250 0.750 0.500
0.750 0.250 0.500
```

## Properties
The value obtained for the total energy is -2.3704 eV/atom. For the energy of formation, the calculation gives 7.57 kcal/mol of atoms.

# 3
# YTmTh

A geometry-optimized YTmTh structure (PBE-GGA, Alexandria via LeMat-Bulk).

```
YTmTh
1.0
-1.745 4.558 -0.004
-4.487 -1.717 0.858
1.390 0.539 8.346
Tm Y Th
2 2 2
Direct
0.500 0.000 0.719
0.000 0.500 0.281
0.000 0.500 0.693
0.500 0.000 0.307
0.500 0.500 0.000
0.000 0.000 0.000
```

## Properties
The value obtained for the total energy is -5.9070 eV/atom. Its relative energy among the computed polymorphs is 0.1895 eV/atom. For the energy of formation, the calculation gives 4.88 kcal/mol of atoms.

# 4
# CsNa2NbSe4

A geometry-optimized CsNa2NbSe4 structure (PBE-GGA, Alexandria via LeMat-Bulk).

```
CsNa2NbSe4
1.0
-6.815 -0.607 -2.151
3.156 -1.372 -6.293
1.922 -4.288 5.419
Na Se Nb Cs
2 4 1 1
Direct
0.750 0.250 0.500
0.250 0.750 0.500
0.965 0.332 0.000
0.668 0.668 0.633
0.332 0.965 0.000
0.035 0.035 0.367
0.000 0.000 0.000
0.500 0.500 0.000
```

## Properties
The value obtained for the total energy is -4.4744 eV/atom. The value obtained for the raw formation energy is -1.037 eV/atom.

# 5
# KRb5Au4

A geometry-optimized KRb5Au4 structure (PBE-GGA, Alexandria via LeMat-Bulk).

```
KRb5Au4
1.0
-1.626 -3.426 3.165
9.386 -2.373 2.254
-1.317 9.356 5.595
K Rb Au
1 5 4
Direct
0.500 0.000 0.000
0.500 0.500 0.000
0.167 0.844 0.335
0.164 0.325 0.328
0.833 0.156 0.665
0.836 0.675 0.672
0.665 0.083 0.329
0.998 0.251 0.996
0.335 0.917 0.671
0.002 0.749 0.004
```

## Properties
The value obtained for the total energy is -2.1133 eV/atom. Its relative energy among the computed polymorphs is 0.0000 eV/atom. For the energy of formation, the calculation gives -4.82 kcal/mol of atoms.

# 6
# PmSm2Ag

A geometry-optimized PmSm2Ag structure (PBE-GGA, Alexandria via LeMat-Bulk).

```
PmSm2Ag
1.0
3.684 0.000 0.000
0.000 3.684 0.000
0.000 0.000 8.856
Sm Ag Pm
2 1 1
Direct
0.000 0.000 0.212
0.000 0.000 0.788
0.500 0.500 0.000
0.500 0.500 0.500
```

## Properties
The value obtained for the total energy is -4.3732 eV/atom. Its relative energy among the computed polymorphs is 0.0000 eV/atom. For the energy of formation, the calculation gives -2.61 kcal/mol of atoms.

# 7
# Sr2TmHg

A geometry-optimized Sr2TmHg structure (PBE-GGA, Alexandria via LeMat-Bulk).

```
Sr2TmHg
1.0
-1.975 -3.276 0.411
3.235 -1.825 1.001
-1.684 2.204 9.463
Tm Sr Hg
1 2 1
Direct
0.500 0.500 0.500
0.000 0.000 0.788
0.000 0.000 0.212
0.500 0.500 0.000
```

## Properties
The value obtained for the total energy is -2.1236 eV/atom. Its relative energy among the computed polymorphs is 0.0000 eV/atom. For the energy of formation, the calculation gives -2.06 kcal/mol of atoms.

# 8
# Pm5NdIr4

A geometry-optimized Pm5NdIr4 structure (PBE-GGA, Alexandria via LeMat-Bulk).

```
Pm5NdIr4
1.0
-1.873 -4.480 0.501
2.331 -1.695 -6.430
7.416 -0.134 2.748
Pm Nd Ir
5 1 4
Direct
0.166 0.502 0.333
0.834 0.999 0.667
0.166 0.001 0.333
0.500 0.500 0.000
0.834 0.498 0.667
0.500 0.000 0.000
0.667 0.750 0.334
0.333 0.250 0.666
0.010 0.252 0.019
0.990 0.748 0.981
```

## Properties
The value obtained for the total energy is -6.9932 eV/atom. For the energy of formation, the calculation gives -13.76 kcal/mol of atoms.

# 9
# TlIn12Pb16

A geometry-optimized TlIn12Pb16 structure (PBE-GGA, Alexandria via LeMat-Bulk).

```
TlIn12Pb16
1.0
9.722 0.226 -3.262
-4.604 8.566 -3.262
0.150 0.258 10.141
Pb In Tl
16 12 1
Direct
0.010 0.667 0.009
0.304 0.304 0.313
0.413 0.687 0.998
0.312 0.312 0.709
0.416 0.001 0.684
0.001 0.416 0.684
0.992 0.992 0.995
0.711 0.311 0.312
0.684 0.001 0.413
0.687 0.413 0.998
0.311 0.711 0.312
0.595 0.294 0.593
0.667 0.010 0.009
0.001 0.684 0.413
0.294 0.595 0.593
0.009 0.009 0.663
0.831 0.641 0.641
0.191 0.815 0.812
0.372 0.992 0.183
0.180 0.988 0.370
0.815 0.191 0.812
0.372 0.184 0.990
0.992 0.372 0.183
0.808 0.808 0.190
0.641 0.831 0.641
0.637 0.637 0.827
0.988 0.180 0.370
0.184 0.372 0.990
0.584 0.584 0.293
```

## Properties
The value obtained for the total energy is -3.2334 eV/atom. For the energy of formation, the calculation gives 0.63 kcal/mol of atoms.

# 10
# CsZn2Ag3

A geometry-optimized CsZn2Ag3 structure (PBE-GGA, Alexandria via LeMat-Bulk).

```
CsZn2Ag3
1.0
-5.497 -0.712 0.718
-0.179 -4.513 -5.843
1.317 -4.146 5.967
Cs Ag Zn
2 6 4
Direct
0.750 0.649 0.649
0.250 0.351 0.351
0.250 0.926 0.926
0.750 0.074 0.074
0.750 0.054 0.476
0.750 0.476 0.054
0.250 0.946 0.524
0.250 0.524 0.946
0.500 0.192 0.808
0.500 0.808 0.192
0.000 0.192 0.808
0.000 0.808 0.192
```

## Properties
The value obtained for the total energy is -2.0215 eV/atom. For the energy of formation, the calculation gives -0.67 kcal/mol of atoms.

# 11
# Pm2YTl3Te6

A geometry-optimized Pm2YTl3Te6 structure (PBE-GGA, Alexandria via LeMat-Bulk).

```
Pm2YTl3Te6
1.0
7.819 0.000 0.000
-3.908 6.772 0.000
-1.304 -2.258 8.181
Te Tl Y Pm
6 3 1 2
Direct
0.400 0.072 0.217
0.072 0.400 0.217
0.255 0.255 0.782
0.745 0.745 0.218
0.928 0.600 0.783
0.600 0.928 0.783
0.168 0.832 0.500
0.500 0.500 0.500
0.832 0.168 0.500
0.000 0.000 0.000
0.334 0.666 0.000
0.666 0.334 0.000
```

## Properties
The value obtained for the total energy is -4.5648 eV/atom. The value obtained for the raw formation energy is -1.072 eV/atom.

# 12
# LaIn2P2

A geometry-optimized LaIn2P2 structure (PBE-GGA, Alexandria via LeMat-Bulk).

```
LaIn2P2
1.0
-3.074 -2.972 2.796
3.952 -3.040 1.114
1.358 -0.441 5.693
In La P
2 1 2
Direct
0.651 0.651 0.698
0.349 0.349 0.302
0.000 0.000 0.000
0.250 0.750 0.500
0.750 0.250 0.500
```

## Properties
The value obtained for the total energy is -4.6078 eV/atom. Its relative energy among the computed polymorphs is 0.1400 eV/atom. For the energy of formation, the calculation gives -8.37 kcal/mol of atoms.

# 13
# LaPr3Pt2

A geometry-optimized LaPr3Pt2 structure (PBE-GGA, Alexandria via LeMat-Bulk).

```
LaPr3Pt2
1.0
5.504 0.000 0.000
-2.752 11.099 0.390
0.000 -5.121 5.589
Pr Pt La
6 4 2
Direct
0.606 0.212 0.703
0.964 0.927 0.699
0.036 0.073 0.301
0.394 0.788 0.297
0.338 0.675 0.666
0.662 0.325 0.334
0.508 0.016 0.827
0.783 0.566 0.288
0.492 0.984 0.173
0.217 0.434 0.712
0.194 0.388 0.045
0.806 0.612 0.955
```

## Properties
The value obtained for the total energy is -5.9155 eV/atom. Its relative energy among the computed polymorphs is 0.1043 eV/atom. For the energy of formation, the calculation gives -15.93 kcal/mol of atoms.

# 14
# Ti6In2Bi

A geometry-optimized Ti6In2Bi structure (PBE-GGA, Alexandria via LeMat-Bulk).

```
Ti6In2Bi
1.0
-3.813 0.337 2.951
-0.329 -6.412 4.265
2.192 -2.228 7.046
Ti In Bi
6 2 1
Direct
0.811 0.436 0.941
0.811 0.941 0.436
0.000 0.755 0.245
0.189 0.059 0.564
0.000 0.245 0.755
0.189 0.564 0.059
0.382 0.118 0.118
0.618 0.882 0.882
0.500 0.500 0.500
```

## Properties
The value obtained for the total energy is -6.0164 eV/atom. For the energy of formation, the calculation gives 6.61 kcal/mol of atoms.

# 15
# K2SrCo

A geometry-optimized K2SrCo structure (PBE-GGA, Alexandria via LeMat-Bulk).

```
K2SrCo
1.0
4.165 0.000 0.000
0.000 4.173 0.000
0.000 0.000 10.762
K Sr Co
2 1 1
Direct
0.000 0.000 0.929
0.000 0.000 0.571
0.500 0.500 0.250
0.500 0.500 0.750
```

## Properties
The value obtained for the total energy is -1.9632 eV/atom. Its relative energy among the computed polymorphs is 0.2518 eV/atom. For the energy of formation, the calculation gives 18.04 kcal/mol of atoms.

# 16
# SrYBr2

A geometry-optimized SrYBr2 structure (PBE-GGA, Alexandria via LeMat-Bulk).

```
SrYBr2
1.0
5.791 0.000 0.000
2.896 5.015 0.000
2.896 1.672 4.728
Br Sr Y
2 1 1
Direct
0.000 0.000 0.000
0.250 0.250 0.250
0.500 0.500 0.500
0.750 0.750 0.750
```

## Properties
The value obtained for the total energy is -3.2183 eV/atom. Its relative energy among the computed polymorphs is 0.8694 eV/atom. The value obtained for the raw formation energy is -0.345 eV/atom.

# 17
# Nd4Si2H

A geometry-optimized Nd4Si2H structure (PBE-GGA, Alexandria via LeMat-Bulk).

```
Nd4Si2H
1.0
4.566 0.000 0.000
0.000 4.566 0.000
2.283 2.283 8.232
H Nd Si
1 4 2
Direct
0.000 0.000 0.000
0.000 0.500 0.000
0.183 0.183 0.634
0.817 0.817 0.366
0.500 0.000 0.000
0.634 0.634 0.732
0.366 0.366 0.268
```

## Properties
The value obtained for the total energy is -5.2447 eV/atom. Its relative energy among the computed polymorphs is 0.0102 eV/atom.

# 18
# LaOs2RhO

A geometry-optimized LaOs2RhO structure (PBE-GGA, Alexandria via LeMat-Bulk).

```
LaOs2RhO
1.0
-4.028 2.742 0.987
-2.793 -3.215 -2.469
-0.731 -2.580 4.186
O La Os Rh
1 1 2 1
Direct
0.500 0.500 0.500
0.000 0.000 0.000
0.000 0.000 0.500
0.500 0.000 0.000
0.000 0.500 0.000
```

## Properties
The value obtained for the total energy is -5.1048 eV/atom. The value obtained for the raw formation energy is 2.835 eV/atom.

# 19
# Pm3Al4Hg2

A geometry-optimized Pm3Al4Hg2 structure (PBE-GGA, Alexandria via LeMat-Bulk).

```
Pm3Al4Hg2
1.0
-0.308 3.494 3.062
1.380 -5.248 2.588
7.264 3.714 -3.507
Hg Pm Al
2 3 4
Direct
0.614 0.228 0.279
0.386 0.772 0.721
0.334 0.668 0.332
0.666 0.332 0.668
0.000 0.000 0.000
0.045 0.089 0.381
0.735 0.471 0.064
0.265 0.529 0.936
0.955 0.911 0.619
```

## Properties
The value obtained for the total energy is -3.7837 eV/atom. For the energy of formation, the calculation gives -10.83 kcal/mol of atoms.

# 20
# BaYTc

A geometry-optimized BaYTc structure (PBE-GGA, Alexandria via LeMat-Bulk).

```
BaYTc
1.0
-4.775 1.430 0.627
-3.128 -2.820 2.738
-1.568 1.622 4.489
Tc Y Ba
1 1 1
Direct
0.750 0.750 0.750
0.000 0.000 0.000
0.500 0.500 0.500
```

## Properties
The value obtained for the total energy is -5.5528 eV/atom. Its relative energy among the computed polymorphs is 0.2397 eV/atom. For the energy of formation, the calculation gives 16.10 kcal/mol of atoms.